[1]
Density functional theory data (PBE-GGA) for crystalline Rb2LiOsC at its relaxed geometry.

Output
- energy relative to the elements (eV/atom) = 0.99

a b c (Å): 6.8251 6.8251 3.8418
angles (deg): 90.00 90.00 90.00
With the nearest neighbours (Å) after each atom.
Sites, in units of the cell vectors:
Rb (0.0000, 0.5000, 0.0000)  2 Os 3.41
Rb (0.5000, 0.0000, 0.0000)  2 Os 3.41
Li (0.0000, 0.0000, 0.5000)  2 Li 3.84, 8 Rb 3.92
Os (0.5000, 0.5000, 0.0000)  2 C 1.92
C (0.5000, 0.5000, 0.5000)  2 Os 1.92

[2]
Density functional theory data (PBE-GGA) for crystalline SrCuTe2N at its relaxed geometry.

Output
- E above lowest polymorph (kJ/mol of formula units) = 0

a b c (Å): 5.7074 5.7074 3.6998
angles (deg): 90.00 90.00 90.00
With the nearest neighbours (Å) after each atom.
Sites, in units of the cell vectors:
Sr (0.0000, 0.0000, 0.0000)  8 Te 3.40, 2 Sr 3.70
Cu (0.5000, 0.5000, 0.5000)  2 N 1.85
Te (0.0000, 0.5000, 0.5000)  2 Cu 2.85
Te (0.5000, 0.0000, 0.5000)  2 Cu 2.85
N (0.5000, 0.5000, 0.0000)  2 Cu 1.85

[3]
Density functional theory data (PBE-GGA) for crystalline RbCd2HgCl8 at its relaxed geometry.

Output
- VASP energy (eV/f.u.) = -28.576

a b c (Å): 6.3597 6.9063 8.1718
angles (deg): 89.21 88.99 84.32
With the nearest neighbours (Å) after each atom.
Sites, in units of the cell vectors:
Rb (0.0000, 0.0000, 0.0000)  6 Cl 3.06-3.32
Cd (0.4994, 0.5024, 0.2571)  6 Cl 2.64-2.77
Cd (0.5006, 0.4976, 0.7429)  6 Cl 2.64-2.77
Hg (0.0000, 0.0000, 0.5000)  4 Cl 2.53-2.55
Cl (0.2606, 0.3824, 0.4986)  2 Cd 2.64-2.71
Cl (0.2687, 0.8563, 0.7030)  1 Hg 2.53, 1 Cd 2.77
Cl (0.2755, 0.8618, 0.2913)  1 Hg 2.55, 1 Cd 2.75
Cl (0.2923, 0.3734, 0.9989)  2 Cd 2.64-2.71
Cl (0.7077, 0.6266, 0.0011)  2 Cd 2.64-2.71
Cl (0.7245, 0.1382, 0.7087)  1 Hg 2.55, 1 Cd 2.75
Cl (0.7313, 0.1437, 0.2970)  1 Hg 2.53, 1 Cd 2.77
Cl (0.7394, 0.6176, 0.5014)  2 Cd 2.64-2.71

[4]
Density functional theory data (PBE-GGA) for crystalline Tb7Cu2Rh2 at its relaxed geometry.

Output
- energy relative to the elements (eV/atom) = -0.24

a b c (Å): 6.6064 6.6064 7.0657
angles (deg): 90.00 90.00 110.08
With the nearest neighbours (Å) after each atom.
Sites, in units of the cell vectors:
Tb (0.0000, 0.0000, 0.0000)  2 Rh 3.19
Tb (0.0000, 0.5000, 0.2660)  2 Rh 2.71
Tb (0.0000, 0.5000, 0.7340)  2 Rh 2.71
Tb (0.5000, 0.0000, 0.2660)  2 Rh 2.71
Tb (0.5000, 0.0000, 0.7340)  2 Rh 2.71
Tb (0.5000, 0.5000, 0.2594)  2 Rh 2.88, 2 Cu 3.02
Tb (0.5000, 0.5000, 0.7406)  2 Rh 2.88, 2 Cu 3.02
Cu (0.1703, 0.1703, 0.5000)  1 Cu 2.58
Cu (0.8297, 0.8297, 0.5000)  1 Cu 2.58
Rh (0.2949, 0.7051, 0.0000)  6 Tb 2.71-2.88
Rh (0.7051, 0.2949, 0.0000)  6 Tb 2.71-2.88

[5]
Density functional theory data (PBE-GGA) for crystalline BaMg2Tl2Cd at its relaxed geometry.

Output
- energy relative to the elements (eV/atom) = -0.21

a b c (Å): 4.9587 4.9587 8.3117
angles (deg): 90.00 90.00 120.00
With the nearest neighbours (Å) after each atom.
Sites, in units of the cell vectors:
Ba (0.0000, 0.0000, 0.0000)  6 Tl 3.55
Mg (0.3333, 0.6667, 0.6364)  4 Tl 3.01-3.18, 3 Cd 3.08
Mg (0.6667, 0.3333, 0.3636)  4 Tl 3.01-3.18, 3 Cd 3.08
Tl (0.3333, 0.6667, 0.2535)  4 Mg 3.01-3.18
Tl (0.6667, 0.3333, 0.7465)  4 Mg 3.01-3.18
Cd (0.0000, 0.0000, 0.5000)  6 Mg 3.08

[6]
Density functional theory data (PBE-GGA) for crystalline ZrTaV2Br at its relaxed geometry.

Output
- VASP energy (eV/f.u.) = -35.824

a b c (Å): 4.4698 4.4698 4.8199
angles (deg): 90.00 90.00 90.00
With the nearest neighbours (Å) after each atom.
Sites, in units of the cell vectors:
Zr (0.0000, 0.0000, 0.0000)  4 Ta 3.16, 8 V 3.29
Ta (0.5000, 0.5000, 0.0000)  2 Br 2.41
V (0.0000, 0.5000, 0.5000)  2 Br 2.23
V (0.5000, 0.0000, 0.5000)  2 Br 2.23
Br (0.5000, 0.5000, 0.5000)  4 V 2.23, 2 Ta 2.41

[7]
Density functional theory data (PBE-GGA) for crystalline AlZnW2 at its relaxed geometry.

Output
- E above lowest polymorph (kJ/mol of formula units) = 163
- energy relative to the elements (eV/atom) = 0.48

a b c (Å): 4.4057 4.4057 4.4057
angles (deg): 60.00 60.00 60.00
With the nearest neighbours (Å) after each atom.
Sites, in units of the cell vectors:
Al (0.0000, 0.0000, 0.0000)  8 W 2.70
Zn (0.5000, 0.5000, 0.5000)  8 W 2.70
W (0.2500, 0.2500, 0.2500)  4 Al 2.70, 4 Zn 2.70
W (0.7500, 0.7500, 0.7500)  4 Zn 2.70, 4 Al 2.70

[8]
Density functional theory data (PBE-GGA) for crystalline CeTlBi2 at its relaxed geometry.

Output
- E above lowest polymorph (kJ/mol of formula units) = 70
- energy relative to the elements (eV/atom) = -0.25

a b c (Å): 5.6299 5.6299 5.6299
angles (deg): 60.00 60.00 60.00
With the nearest neighbours (Å) after each atom.
Sites, in units of the cell vectors:
Ce (0.0000, 0.0000, 0.0000)  8 Bi 3.45
Tl (0.5000, 0.5000, 0.5000)  8 Bi 3.45
Bi (0.2500, 0.2500, 0.2500)  4 Tl 3.45, 4 Ce 3.45
Bi (0.7500, 0.7500, 0.7500)  4 Tl 3.45, 4 Ce 3.45

[9]
Density functional theory data (PBE-GGA) for crystalline BaLaZn2Pt2 at its relaxed geometry.

Output
- energy relative to the elements (eV/atom) = -0.79

a b c (Å): 4.5179 4.5179 8.3873
angles (deg): 90.00 90.00 120.00
With the nearest neighbours (Å) after each atom.
Sites, in units of the cell vectors:
Ba (0.0000, 0.0000, 0.0000)  6 Zn 3.48, 6 Pt 3.57
La (0.0000, 0.0000, 0.5000)  6 Pt 3.15, 6 Zn 3.22
Zn (0.3333, 0.6667, 0.7248)  3 Pt 2.61
Zn (0.6667, 0.3333, 0.2752)  3 Pt 2.61
Pt (0.3333, 0.6667, 0.2900)  3 Zn 2.61
Pt (0.6667, 0.3333, 0.7100)  3 Zn 2.61

[10]
Density functional theory data (PBE-GGA) for crystalline BeCdMo2 at its relaxed geometry.

Output
- E above lowest polymorph (kJ/mol of formula units) = 94
- energy relative to the elements (eV/atom) = 0.50

a b c (Å): 4.4428 4.4428 4.4428
angles (deg): 60.00 60.00 60.00
With the nearest neighbours (Å) after each atom.
Sites, in units of the cell vectors:
Be (0.0000, 0.0000, 0.0000)  4 Cd 2.72, 4 Mo 2.72
Cd (0.7500, 0.7500, 0.7500)  4 Mo 2.72, 4 Be 2.72
Mo (0.2500, 0.2500, 0.2500)  4 Mo 2.72, 4 Be 2.72
Mo (0.5000, 0.5000, 0.5000)  4 Mo 2.72, 4 Cd 2.72

[11]
Density functional theory data (PBE-GGA) for crystalline KBeSnH6 at its relaxed geometry.

Output
- VASP energy (eV/f.u.) = -27.198

a b c (Å): 5.0152 5.0152 5.4953
angles (deg): 90.00 90.00 120.00
With the nearest neighbours (Å) after each atom.
Sites, in units of the cell vectors:
K (0.0000, 0.0000, 0.0000)  6 H 2.62
Be (0.3333, 0.6667, 0.5000)  6 H 1.65
Sn (0.6667, 0.3333, 0.5000)  6 H 2.03
H (0.0564, 0.4030, 0.3294)  1 Be 1.65
H (0.0564, 0.6534, 0.6706)  1 Be 1.65
H (0.3466, 0.4030, 0.6706)  1 Be 1.65
H (0.3466, 0.9436, 0.3294)  1 Be 1.65
H (0.5970, 0.6534, 0.3294)  1 Be 1.65
H (0.5970, 0.9436, 0.6706)  1 Be 1.65

[12]
Density functional theory data (PBE-GGA) for crystalline BaSr4Ca3 at its relaxed geometry.

Output
- energy relative to the elements (eV/atom) = 0.02

a b c (Å): 13.6400 8.4211 7.0794
angles (deg): 90.00 90.00 90.00
With the nearest neighbours (Å) after each atom.
Sites, in units of the cell vectors:
Ba (0.0000, 0.0000, 0.0000)  8 Sr 4.15-4.16, 4 Ca 4.21-4.26
Ba (0.5000, 0.0000, 0.0000)  8 Sr 4.15-4.16, 4 Ca 4.21-4.26
Sr (0.0000, 0.2567, 0.5000)  6 Ca 4.09-4.16, 4 Sr 4.10-4.32, 2 Ba 4.15
Sr (0.0000, 0.7433, 0.5000)  6 Ca 4.09-4.16, 4 Sr 4.10-4.32, 2 Ba 4.15
Sr (0.2500, 0.2555, 0.1454)  6 Ca 4.05-4.18, 4 Sr 4.12-4.30, 2 Ba 4.16
Sr (0.2500, 0.7445, 0.1454)  6 Ca 4.05-4.18, 4 Sr 4.12-4.30, 2 Ba 4.16
Sr (0.5000, 0.2567, 0.5000)  6 Ca 4.09-4.16, 4 Sr 4.10-4.32, 2 Ba 4.15
Sr (0.5000, 0.7433, 0.5000)  6 Ca 4.09-4.16, 4 Sr 4.10-4.32, 2 Ba 4.15
Sr (0.7500, 0.2555, 0.8546)  6 Ca 4.05-4.18, 4 Sr 4.12-4.30, 2 Ba 4.16
Sr (0.7500, 0.7445, 0.8546)  6 Ca 4.05-4.18, 4 Sr 4.12-4.30, 2 Ba 4.16
Ca (0.0000, 0.5000, 0.0000)  8 Sr 4.09-4.11, 2 Ca 4.20, 2 Ba 4.21
Ca (0.2500, 0.0000, 0.6385)  8 Sr 4.10-4.18, 2 Ca 4.21, 2 Ba 4.26
Ca (0.2500, 0.5000, 0.6535)  8 Sr 4.05-4.14, 4 Ca 4.20-4.21
Ca (0.5000, 0.5000, 0.0000)  8 Sr 4.09-4.11, 2 Ca 4.20, 2 Ba 4.21
Ca (0.7500, 0.0000, 0.3615)  8 Sr 4.10-4.18, 2 Ca 4.21, 2 Ba 4.26
Ca (0.7500, 0.5000, 0.3465)  8 Sr 4.05-4.14, 4 Ca 4.20-4.21

Number 1: spin magnetization 0.73 μB/cell. Number 2: spin magnetization 1.28 μB/cell. Number 3: spin magnetization 1.08 μB/cell. Number 4: spin magnetization 0.00 μB/cell. Number 5: spin magnetization 0.00 μB/cell. Number 6: spin magnetization 0.00 μB/cell. Number 7: spin magnetization 0.00 μB/cell. Number 8: spin magnetization 1.00 μB/cell. Number 9: spin magnetization 0.00 μB/cell. Number 10: spin magnetization 0.00 μB/cell. Number 11: spin magnetization 0.00 μB/cell. Number 12: spin magnetization 0.00 μB/cell.